(1)
The following is a DFT calculation (PBE-GGA) of a geometry-optimized Li3B4C4 structure.

a = 7.1824 Å, b = 2.7272 Å, c = 9.4558 Å
α = 90.00°, β = 90.31°, γ = 90.00°
Last column: nearest neighbours and their distance in Å.
Space group P2_1/m (No. 11)
Symmetry-distinct sites (fractional):
Li1 0.0024 0.2500 0.3748 (multiplicity 2)  6 C 2.32-2.37, 6 B 2.35-2.38
Li2 0.0047 0.7500 0.1246 (multiplicity 2)  6 C 2.34-2.41, 6 B 2.37-2.43
Li3 0.4970 0.2500 0.8577 (multiplicity 2)  6 B 2.33-2.49, 6 C 2.33-2.51
B1 0.2414 0.7500 0.7913 (multiplicity 2)  3 C 1.57-1.59
B2 0.2455 0.2500 0.5431 (multiplicity 2)  3 C 1.57-1.58
B3 0.2503 0.7500 0.2953 (multiplicity 2)  3 C 1.56-1.58
B4 0.2526 0.2500 0.0431 (multiplicity 2)  3 C 1.58
C1 0.2357 0.2500 0.7097 (multiplicity 2)  3 B 1.57-1.58
C2 0.2387 0.7500 0.4604 (multiplicity 2)  3 B 1.56-1.57
C3 0.2505 0.2500 0.2099 (multiplicity 2)  3 B 1.58
C4 0.2497 0.7500 0.9590 (multiplicity 2)  3 B 1.58-1.59

Values from the calculation:
ΔE to the lowest computed polymorph (meV/atom): 22
Energy relative to the elements (eV per atom): -0.219
Calculated total energy (eV/atom): -6.52
Magnetization (μB/atom): 0.000

(2)
The following is a DFT calculation (PBE-GGA) of a geometry-optimized CuSbPb structure.

a = 3.2630 Å, b = 3.4797 Å, c = 12.9534 Å
α = 90.00°, β = 90.27°, γ = 90.00°
Last column: nearest neighbours and their distance in Å.
Space group P2_1/m (No. 11)
Symmetry-distinct sites (fractional):
Cu1 0.2491 0.2500 0.4547 (multiplicity 2)  4 Cu 2.66, 5 Sb 2.71-2.84
Sb1 0.2534 0.2500 0.6640 (multiplicity 2)  5 Cu 2.71-2.84
Pb1 0.2503 0.7500 0.8980 (multiplicity 2)  8 Pb 3.26-3.57, 2 Sb 3.50

Values from the calculation:
ΔE to the lowest computed polymorph (meV/atom): 41
Raw formation energy (eV per atom): 0.08
Calculated total energy (eV/atom): -3.89
Magnetization (μB/atom): 0.000

(3)
The following is a DFT calculation (PBE-GGA) of a geometry-optimized LiEu2Ho structure.

a = 3.5500 Å, b = 3.5500 Å, c = 37.3868 Å
α = 90.00°, β = 90.00°, γ = 120.00°
Last column: nearest neighbours and their distance in Å.
Space group R-3m (No. 166, hexagonal axes)
Symmetry-distinct sites (fractional):
Li1 0.0000 0.0000 0.0000 (multiplicity 3)  6 Eu 3.51, 6 Li 3.55
Eu1 0.0000 0.0000 0.4096 (multiplicity 6)  1 Ho 3.38, 3 Li 3.51, 6 Eu 3.55
Ho1 0.0000 0.0000 0.5000 (multiplicity 3)  2 Eu 3.38, 6 Ho 3.55

Values from the calculation:
ΔE to the lowest computed polymorph (meV/atom): 168
Energy relative to the elements (eV per atom): 0.273
Calculated total energy (eV/atom): -6.49
Magnetization (μB/atom): 3.921

(4)
The following is a DFT calculation (PBE-GGA) of a geometry-optimized BeZnCdIr structure.

a = 3.8696 Å, b = 3.8696 Å, c = 14.5849 Å
α = 90.00°, β = 90.00°, γ = 120.00°
Last column: nearest neighbours and their distance in Å.
Space group R3m (No. 160, hexagonal axes)
Symmetry-distinct sites (fractional):
Be1 0.0000 0.0000 0.0000 (multiplicity 3)  3 Ir 2.30, 3 Zn 2.38, 1 Cd 2.43
Zn1 0.0000 0.0000 0.3899 (multiplicity 3)  3 Be 2.38, 3 Ir 2.61
Cd1 0.0000 0.0000 0.8333 (multiplicity 3)  1 Be 2.43
Ir1 0.0000 0.0000 0.6305 (multiplicity 3)  3 Be 2.30

Values from the calculation:
ΔE to the lowest computed polymorph (meV/atom): 106
Energy relative to the elements (eV per atom): -0.078
Calculated total energy (eV/atom): -3.77
Magnetization (μB/atom): 0.000

(5)
The following is a DFT calculation (PBE-GGA) of a geometry-optimized BaCl structure.

a = 7.2455 Å, b = 7.2455 Å, c = 7.2455 Å
α = 90.00°, β = 90.00°, γ = 90.00°
Last column: nearest neighbours and their distance in Å.
Space group F-43m (No. 216)
Symmetry-distinct sites (fractional):
Ba1 0.0000 0.0000 0.0000 (multiplicity 4)  4 Cl 3.14
Cl1 0.2500 0.2500 0.2500 (multiplicity 4)  4 Ba 3.14

Values from the calculation:
Raw formation energy (eV per atom): -1.68
Calculated total energy (eV/atom): -3.56
Magnetization (μB/atom): 0.440

(6)
The following is a DFT calculation (PBE-GGA) of a geometry-optimized CuPbBr2 structure.

a = 3.6631 Å, b = 3.6650 Å, c = 8.6082 Å
α = 90.00°, β = 96.55°, γ = 90.00°
Last column: nearest neighbours and their distance in Å.
Space group P2/m (No. 10)
Symmetry-distinct sites (fractional):
Cu1 0.0000 0.0000 0.0000 (multiplicity 1)  4 Br 2.51
Pb1 0.0000 0.0000 0.5000 (multiplicity 1)  4 Br 3.20
Br1 0.0784 0.5000 0.8065 (multiplicity 2)  2 Cu 2.51

Values from the calculation:
ΔE to the lowest computed polymorph (meV/atom): 105
Raw formation energy (eV per atom): -0.22
Calculated total energy (eV/atom): -3.01
Magnetization (μB/atom): 0.000